[1]
Computed, not measured: a relaxed structure of AgGeN2F at the PBE level of DFT.

raw formation energy	483	meV/atom
polymorph energy (0 for the lowest one)	0.0	meV per atom

Cell lengths 3.827, 3.827, 4.025 Å; angles 90.00, 90.00, 90.00 degrees
Space group P4/mmm (No. 123)
Unique sites:
1 Ag 0.000 0.000 0.000 (multiplicity 1)
2 Ge 0.500 0.500 0.500 (multiplicity 1)
3 N 0.000 0.500 0.500 (multiplicity 2)
4 F 0.500 0.500 0.000 (multiplicity 1)

=====

[2]
Computed, not measured: a relaxed structure of NaAgGeF6 at the PBE level of DFT.

raw formation energy	-2269	meV/atom

Cell lengths 5.6759, 5.6759, 9.6131 Å; angles 90.00, 90.00, 120.00 degrees
Space group P-31c (No. 163)
Unique sites:
1 Na 0.3333 0.6667 0.2500 (multiplicity 2)
2 Ag 0.0000 0.0000 0.0000 (multiplicity 2)
3 Ge 0.3333 0.6667 0.7500 (multiplicity 2)
4 F 0.0635 0.4025 0.6417 (multiplicity 12)

=====

[3]
Computed, not measured: a relaxed structure of AgGeOF2 at the PBE level of DFT.

raw formation energy	-558	meV/atom
polymorph energy (0 for the lowest one)	699.9	meV per atom

Cell lengths 4.269, 4.269, 4.218 Å; angles 90.00, 90.00, 90.00 degrees
Space group P4/mmm (No. 123)
Unique sites:
1 Ag 0.000 0.000 0.000 (multiplicity 1)
2 Ge 0.500 0.500 0.500 (multiplicity 1)
3 O 0.000 0.000 0.500 (multiplicity 1)
4 F 0.000 0.500 0.000 (multiplicity 2)

=====

[4]
Computed, not measured: a relaxed structure of AgGeOF2 at the PBE level of DFT.

raw formation energy	-1258	meV/atom
polymorph energy (0 for the lowest one)	0.0	meV per atom

Cell lengths 4.268, 4.268, 3.803 Å; angles 90.00, 90.00, 90.00 degrees
Space group P4/mmm (No. 123)
Unique sites:
1 Ag 0.000 0.000 0.000 (multiplicity 1)
2 Ge 0.500 0.500 0.500 (multiplicity 1)
3 O 0.500 0.500 0.000 (multiplicity 1)
4 F 0.000 0.500 0.500 (multiplicity 2)

=====

[5]
Computed, not measured: a relaxed structure of AgGe2OsF at the PBE level of DFT.

raw formation energy	605	meV/atom

Cell lengths 4.361, 4.361, 4.391 Å; angles 90.00, 90.00, 90.00 degrees
Space group P4/mmm (No. 123)
Unique sites:
1 Ag 0.000 0.000 0.000 (multiplicity 1)
2 Ge 0.000 0.500 0.500 (multiplicity 2)
3 Os 0.500 0.500 0.000 (multiplicity 1)
4 F 0.000 0.000 0.500 (multiplicity 1)

=====

[6]
Computed, not measured: a relaxed structure of Ag2GePbF at the PBE level of DFT.

raw formation energy	418	meV/atom

Cell lengths 5.394, 5.394, 5.341 Å; angles 90.00, 90.00, 90.00 degrees
Space group P4/mmm (No. 123)
Unique sites:
1 Ag 0.000 0.500 0.000 (multiplicity 2)
2 Ge 0.000 0.000 0.500 (multiplicity 1)
3 Pb 0.000 0.000 0.000 (multiplicity 1)
4 F 0.500 0.500 0.500 (multiplicity 1)

=====

> What is the formula in the first record?

AgGeN2F